{"formula": "Ta2MnO6", "functional": "GGA+U", "state": "relaxed", "cell": [[4.836, 0.000, 0.000], [0.000, 4.836, 0.000], [0.000, 0.000, 9.387]], "species": ["Ta", "O", "O", "O", "Mn", "O", "O", "Ta", "O", "Mn", "Ta", "O", "O", "O", "Ta", "O", "O", "O"], "fractional_positions": [[0.500, 0.500, 0.168], [0.684, 0.684, 0.000], [0.316, 0.316, 0.000], [0.793, 0.207, 0.183], [0.500, 0.500, 0.500], [0.207, 0.793, 0.183], [0.793, 0.207, 0.817], [0.500, 0.500, 0.832], [0.293, 0.293, 0.683], [0.000, 0.000, 0.000], [0.000, 0.000, 0.668], [0.707, 0.707, 0.683], [0.816, 0.184, 0.500], [0.707, 0.707, 0.317], [0.000, 0.000, 0.332], [0.207, 0.793, 0.817], [0.184, 0.816, 0.500], [0.293, 0.293, 0.317]], "e_tot_ev_per_atom": -9.3988, "mass_density_g_cm3": 7.757, "total_magnetization_mub_per_atom": 0.556, "volume_a3_per_fu": 109.79}